1.
Below is an optimized crystal structure of Pr8HRh3Cl4, with properties calculated at the PBE-GGA level.

D(E_F)	9.7	states/eV per cell
V	432.5	Å³ per cell
SG	R-3m
calculated total energy	-5.49	eV/atom

Cell lengths 8.1172, 8.9143, 8.1158 Å; angles 117.10, 120.01, 90.00 degrees
Closest atoms and distances in Å follow each position.
Sites, in units of the cell vectors:
Pr1 0.2640 0.2925 0.5281  3 Rh 2.82
Pr2 0.7675 0.2945 0.0267  1 H 2.78, 2 Rh 2.83
Pr3 0.2592 0.2945 0.0267  1 H 2.78, 2 Rh 2.83
Pr4 0.2325 0.7055 0.9733  1 H 2.78, 2 Rh 2.83
Pr5 0.7360 0.7075 0.4719  3 Rh 2.82
Pr6 0.7674 0.2944 0.5347  1 H 2.78, 2 Rh 2.83
Pr7 0.2326 0.7056 0.4653  1 H 2.78, 2 Rh 2.83
Pr8 0.7408 0.7055 0.9733  1 H 2.78, 2 Rh 2.83
Rh1 0.5000 0.5000 0.5000  6 Pr 2.82-2.83
Rh2 0.0000 0.5000 0.5000  6 Pr 2.82-2.83
Rh3 0.5000 0.5000 0.0000  6 Pr 2.82-2.83
Cl1 0.0000 0.0000 0.0000  6 Pr 3.22
Cl2 0.0000 0.0000 0.5000  6 Pr 3.22-3.23
Cl3 0.5000 0.0000 0.0000  6 Pr 3.26-3.27
Cl4 0.5000 0.0000 0.5000  6 Pr 3.22-3.23
H1 0.0000 0.5000 0.0000  6 Pr 2.78


2.
Below is an optimized crystal structure of Pr6HRu2Cl3, with properties calculated at the PBE-GGA level.

D(E_F)	4.0	states/eV per cell
V	318.5	Å³ per cell
SG	C2/m
calculated total energy	-5.59	eV/atom

Cell lengths 6.9205, 6.9205, 8.0287 Å; angles 98.33, 98.33, 120.05 degrees
Closest atoms and distances in Å follow each position.
Sites, in units of the cell vectors:
Cl1 0.5000 0.5000 0.5000  6 Pr 3.23-3.25
Cl2 0.1733 0.8267 0.5000  6 Pr 3.18-3.28
Cl3 0.8267 0.1733 0.5000  6 Pr 3.18-3.28
H1 0.0000 0.0000 0.0000  6 Pr 2.78-2.79
Pr1 0.9314 0.5988 0.7948  1 H 2.79, 2 Ru 2.80
Pr2 0.5988 0.9314 0.7948  1 H 2.79, 2 Ru 2.80
Pr3 0.7362 0.7362 0.2042  1 H 2.78, 2 Ru 2.79
Pr4 0.0686 0.4012 0.2052  1 H 2.79, 2 Ru 2.80
Pr5 0.2638 0.2638 0.7958  1 H 2.78, 2 Ru 2.79
Pr6 0.4012 0.0686 0.2052  1 H 2.79, 2 Ru 2.80
Ru1 0.3335 0.6665 0.0000  6 Pr 2.79-2.80
Ru2 0.6665 0.3335 0.0000  6 Pr 2.79-2.80


3.
Below is an optimized crystal structure of Pr2H2SCl, with properties calculated at the PBE-GGA level.

D(E_F)	2.7	states/eV per cell
V	110.7	Å³ per cell
SG	P-3m1
calculated total energy	-5.05	eV/atom

Cell lengths 3.9709, 3.9709, 8.1041 Å; angles 90.00, 90.00, 120.00 degrees
Closest atoms and distances in Å follow each position.
Sites, in units of the cell vectors:
Pr1 0.6667 0.3333 0.2813  3 H 2.31
Pr2 0.3333 0.6667 0.7187  3 H 2.31
H1 0.6667 0.3333 0.7573  3 Pr 2.31
H2 0.3333 0.6667 0.2427  3 Pr 2.31
Cl1 0.0000 0.0000 0.0000  6 H 3.02, 6 Pr 3.23
S1 0.0000 0.0000 0.5000  6 Pr 2.90, 6 H 3.10


4.
Below is an optimized crystal structure of Pr2H2SeCl, with properties calculated at the PBE-GGA level.

D(E_F)	2.8	states/eV per cell
V	116.4	Å³ per cell
SG	P-3m1
calculated total energy	-4.88	eV/atom

Cell lengths 4.0161, 4.0161, 8.3359 Å; angles 90.00, 90.00, 120.00 degrees
Closest atoms and distances in Å follow each position.
Sites, in units of the cell vectors:
Se1 0.0000 0.0000 0.5000  6 Pr 3.00, 6 H 3.19
Pr1 0.3333 0.6667 0.7283  3 H 2.34
Pr2 0.6667 0.3333 0.2717  3 H 2.34
Cl1 0.0000 0.0000 0.0000  6 H 3.05, 6 Pr 3.24
H1 0.3333 0.6667 0.2379  3 Pr 2.34
H2 0.6667 0.3333 0.7621  3 Pr 2.34


5.
Below is an optimized crystal structure of Pr4SiHCl2, with properties calculated at the PBE-GGA level.

D(E_F)	5.4	states/eV per cell
V	200.7	Å³ per cell
SG	P2/m
calculated total energy	-4.93	eV/atom

Cell lengths 4.0662, 6.9361, 7.4519 Å; angles 107.26, 90.00, 90.00 degrees
Closest atoms and distances in Å follow each position.
Sites, in units of the cell vectors:
H1 0.5000 0.5000 0.0000  6 Pr 2.64-2.81
Si1 0.0000 0.0000 0.0000  6 Pr 2.84-2.87
Cl1 0.5000 0.0000 0.5000  6 Pr 3.10-3.16
Cl2 0.0000 0.5000 0.5000  6 Pr 2.97-3.06
Pr1 0.0000 0.2688 0.7770  2 H 2.81, 1 Si 2.84, 3 Cl 2.97-3.10
Pr2 0.5000 0.7414 0.7849  1 H 2.64, 2 Si 2.87
Pr3 0.0000 0.7312 0.2230  2 H 2.81, 1 Si 2.84, 3 Cl 2.97-3.10
Pr4 0.5000 0.2586 0.2151  1 H 2.64, 2 Si 2.87


6.
Below is an optimized crystal structure of Pr8Si3HCl4, with properties calculated at the PBE-GGA level.

D(E_F)	10.3	states/eV per cell
V	422.7	Å³ per cell
SG	R-3m
calculated total energy	-5.15	eV/atom

Cell lengths 8.3555, 8.4935, 8.3557 Å; angles 119.46, 120.00, 90.00 degrees
Closest atoms and distances in Å follow each position.
Sites, in units of the cell vectors:
H1 0.0000 0.5000 0.0000  6 Pr 2.87
Si1 0.0000 0.5000 0.5000  6 Pr 2.89-2.90
Si2 0.5000 0.5000 0.0000  6 Pr 2.89-2.90
Si3 0.5000 0.5000 0.5000  6 Pr 2.89-2.90
Pr1 0.2565 0.2745 0.0155  1 H 2.87, 2 Si 2.89, 3 Cl 3.08-3.09
Pr2 0.7435 0.7255 0.9845  1 H 2.87, 2 Si 2.89, 3 Cl 3.08-3.09
Pr3 0.7588 0.2744 0.5177  1 H 2.87, 2 Si 2.89, 3 Cl 3.08-3.09
Pr4 0.7590 0.2745 0.0155  1 H 2.87, 2 Si 2.89, 3 Cl 3.08-3.09
Pr5 0.7435 0.7306 0.4871  3 Si 2.90, 3 Cl 3.06
Pr6 0.2565 0.2694 0.5129  3 Si 2.90, 3 Cl 3.06
Pr7 0.2412 0.7256 0.4823  1 H 2.87, 2 Si 2.89, 3 Cl 3.08-3.09
Pr8 0.2410 0.7255 0.9845  1 H 2.87, 2 Si 2.89, 3 Cl 3.08-3.09
Cl1 0.5000 0.0000 0.0000  6 Pr 3.09
Cl2 0.0000 0.0000 0.0000  6 Pr 3.06-3.08
Cl3 0.0000 0.0000 0.5000  6 Pr 3.06-3.08
Cl4 0.5000 0.0000 0.5000  6 Pr 3.06-3.08


7.
Below is an optimized crystal structure of Pr6Tc2HCl3, with properties calculated at the PBE-GGA level.

D(E_F)	6.2	states/eV per cell
V	315.1	Å³ per cell
SG	C2/m
calculated total energy	-5.60	eV/atom

Cell lengths 6.7443, 6.7443, 8.1381 Å; angles 98.68, 98.68, 117.20 degrees
Closest atoms and distances in Å follow each position.
Sites, in units of the cell vectors:
Cl1 0.5000 0.5000 0.5000  6 Pr 3.21-3.34
Cl2 0.8173 0.1827 0.5000  6 Pr 3.13-3.39
Cl3 0.1827 0.8173 0.5000  6 Pr 3.13-3.39
Tc1 0.6403 0.3597 0.0000  6 Pr 2.75-2.99
Tc2 0.3597 0.6403 0.0000  6 Pr 2.75-2.99
Pr1 0.0792 0.4094 0.1978  1 H 2.75, 2 Tc 2.75-2.99
Pr2 0.7735 0.7735 0.2264  1 H 2.76, 2 Tc 2.77
Pr3 0.5906 0.9208 0.8022  1 H 2.75, 2 Tc 2.75-2.99
Pr4 0.4094 0.0792 0.1978  1 H 2.75, 2 Tc 2.75-2.99
Pr5 0.9208 0.5906 0.8022  1 H 2.75, 2 Tc 2.75-2.99
Pr6 0.2265 0.2265 0.7736  1 H 2.76, 2 Tc 2.77
H1 0.0000 0.0000 0.0000  6 Pr 2.75-2.76


8.
Below is an optimized crystal structure of HPtCl, with properties calculated at the PBE-GGA level.

D(E_F)	3.6	states/eV per cell
V	203.1	Å³ per cell
relative energy among the computed polymorphs	281	meV/atom
SG	Imma
calculated total energy	-3.67	eV/atom

Cell lengths 5.4314, 7.0099, 5.3336 Å; angles 90.00, 90.00, 90.00 degrees
Closest atoms and distances in Å follow each position.
Sites, in units of the cell vectors:
H1 0.5000 0.7500 0.9571  2 Pt 1.75
H2 0.0000 0.2500 0.4571  2 Pt 1.75
H3 0.0000 0.7500 0.5429  2 Pt 1.75
H4 0.5000 0.2500 0.0429  2 Pt 1.75
Cl1 0.5000 0.0000 0.5000  4 Pt 2.59
Cl2 0.0000 0.0000 0.0000  4 Pt 2.59
Cl3 0.0000 0.5000 0.0000  4 Pt 2.59
Cl4 0.5000 0.5000 0.5000  4 Pt 2.59
Pt1 0.7500 0.2500 0.2500  2 H 1.75
Pt2 0.7500 0.7500 0.7500  2 H 1.75
Pt3 0.2500 0.7500 0.7500  2 H 1.75
Pt4 0.2500 0.2500 0.2500  2 H 1.75